Record 1
Below is an optimized crystal structure of HfTaPdW, with properties calculated at the PBE-GGA level.

a b c (Å): 6.5458 6.5458 6.5458
angles (deg): 90.00 90.00 90.00
With the nearest neighbours (Å) after each atom.
Space group F-43m (No. 216)
Unique sites:
Hf1 0.0000 0.0000 0.0000 [4 per cell]  4 W 2.83, 4 Pd 2.83
Ta1 0.0000 0.0000 0.5000 [4 per cell]  4 Pd 2.83, 4 W 2.83
Pd1 0.2500 0.2500 0.2500 [4 per cell]  4 Hf 2.83, 4 Ta 2.83
W1 0.2500 0.2500 0.7500 [4 per cell]  4 Hf 2.83, 4 Ta 2.83

Output
**DFT formation energy**: -207 meV per atom
**Theoretical density**: 15.39 g cm⁻³
**M_tot**: 0.000 μB/f.u.
**E_tot**: -10.195 eV/atom



Record 2
Below is an optimized crystal structure of CeHf2ZrN4, with properties calculated at the PBE-GGA level.

a b c (Å): 6.5822 6.6583 9.3627
angles (deg): 90.00 90.00 90.00
With the nearest neighbours (Å) after each atom.
Space group Imma (No. 74)
Unique sites:
Ce1 0.2500 0.2500 0.2500 [4 per cell]  6 N 2.43-2.45
Hf1 0.0000 0.0000 0.0000 [4 per cell]  6 N 2.30
Hf2 0.2500 0.2500 0.7500 [4 per cell]  6 N 2.24-2.25
Zr1 0.0000 0.0000 0.5000 [4 per cell]  6 N 2.39
N1 0.0000 0.0219 0.7551 [8 per cell]  3 Hf 2.24-2.30, 1 Zr 2.39, 2 Ce 2.45
N2 0.2408 0.2500 0.9902 [8 per cell]  3 Hf 2.25-2.30, 2 Zr 2.39, 1 Ce 2.43

Output
**Theoretical density**: 10.43 g cm⁻³
**M_tot**: 0.000 μB/f.u.
**Formation energy (no corrections)**: -1.690 eV per atom
**E_tot**: -10.151 eV/atom



Record 3
Below is an optimized crystal structure of PmSm2Tl2Zn2, with properties calculated at the PBE-GGA level.

a b c (Å): 4.7893 4.7893 27.9193
angles (deg): 90.00 90.00 120.00
With the nearest neighbours (Å) after each atom.
Space group R-3m (No. 166, hexagonal axes)
Unique sites:
Pm1 0.0000 0.0000 0.0000 [3 per cell]  6 Tl 3.35, 6 Zn 3.46, 2 Sm 3.58
Sm1 0.0000 0.0000 0.1283 [6 per cell]  3 Zn 3.15, 3 Tl 3.24, 3 Sm 3.50
Tl1 0.0000 0.0000 0.2656 [6 per cell]  3 Zn 2.77
Zn1 0.0000 0.0000 0.4080 [6 per cell]  3 Tl 2.77

Output
**DFT formation energy**: -187 meV per atom
**Theoretical density**: 8.85 g cm⁻³
**M_tot**: 0.000 μB/f.u.
**E_tot**: -3.254 eV/atom



Record 4
Below is an optimized crystal structure of LaPRh, with properties calculated at the PBE-GGA level.

a b c (Å): 3.2633 3.2633 10.9233
angles (deg): 90.00 90.00 90.00
With the nearest neighbours (Å) after each atom.
Space group I4mm (No. 107)
Unique sites:
La1 0.0000 0.0000 0.0000 [2 per cell]  5 Rh 3.16-3.26, 5 P 3.19-3.24, 4 La 3.26
P1 0.0000 0.0000 0.2922 [2 per cell]  4 Rh 2.47
Rh1 0.0000 0.0000 0.7104 [2 per cell]  4 P 2.47

Output
**DFT formation energy**: -661 meV per atom
**Theoretical density**: 7.79 g cm⁻³
**M_tot**: 0.000 μB/f.u.
**E_tot**: -6.557 eV/atom



Record 5
Below is an optimized crystal structure of La2Nd3Pd4, with properties calculated at the PBE-GGA level.

a b c (Å): 7.7644 7.8036 8.3213
angles (deg): 90.00 108.25 90.00
With the nearest neighbours (Å) after each atom.
Space group P2_1/c (No. 14)
Unique sites:
La1 0.2007 0.1749 0.0964 [4 per cell]  6 Pd 3.12-3.39
Nd1 0.2410 0.6633 0.2517 [4 per cell]  6 Pd 2.92-3.14
Nd2 0.5000 0.0000 0.5000 [2 per cell]  6 Pd 3.02-3.29
Pd1 0.0927 0.5353 0.8757 [4 per cell]  4 Nd 2.92-3.14, 1 Pd 2.92, 1 La 3.17
Pd2 0.4985 0.1301 0.8759 [4 per cell]  1 Pd 2.89, 4 Nd 3.00-3.14, 1 La 3.12

Output
**DFT formation energy**: -709 meV per atom
**Theoretical density**: 7.88 g cm⁻³
**M_tot**: 0.000 μB/f.u.
**E_tot**: -5.701 eV/atom



Record 6
Below is an optimized crystal structure of Ta2AgTe4, with properties calculated at the PBE-GGA level.

a b c (Å): 14.3284 8.2824 8.2804
angles (deg): 90.00 125.29 90.00
With the nearest neighbours (Å) after each atom.
Space group Cm (No. 8)
Unique sites:
Ta1 0.0000 0.0000 0.0000 [2 per cell]  6 Te 2.72-3.00
Ta2 0.0009 0.0000 0.4318 [2 per cell]  6 Te 2.72-3.00
Ta3 0.2831 0.2813 0.9977 [4 per cell]  6 Te 2.72-2.99
Ag1 0.1432 0.5000 0.3577 [2 per cell]  4 Te 2.58
Ag2 0.3931 0.0000 0.6072 [2 per cell]  4 Te 2.83
Te1 0.0146 0.2466 0.2300 [4 per cell]  1 Ag 2.58, 3 Ta 2.72
Te2 0.0312 0.2197 0.7465 [4 per cell]  1 Ag 2.83, 3 Ta 2.99-3.00
Te3 0.2523 0.0000 0.1887 [2 per cell]  1 Ag 2.83, 3 Ta 2.99-3.00
Te4 0.2529 0.0000 0.7457 [2 per cell]  1 Ag 2.83, 3 Ta 2.99
Te5 0.2691 0.5000 0.2281 [2 per cell]  1 Ag 2.58, 3 Ta 2.72
Te6 0.2686 0.5000 0.7392 [2 per cell]  1 Ag 2.58, 3 Ta 2.72

Output
**Theoretical density**: 8.12 g cm⁻³
**M_tot**: 0.000 μB/f.u.
**Formation energy (no corrections)**: -0.098 eV per atom
**E_tot**: -5.687 eV/atom



Record 7
Below is an optimized crystal structure of CuRe2W, with properties calculated at the PBE-GGA level.

a b c (Å): 3.8883 3.8883 7.7644
angles (deg): 90.00 90.00 90.00
With the nearest neighbours (Å) after each atom.
Space group I4/mmm (No. 139)
Unique sites:
Cu1 0.0000 0.0000 0.0000 [2 per cell]  8 Re 2.75, 4 W 2.75
Re1 0.0000 0.5000 0.2500 [4 per cell]  4 W 2.75, 4 Cu 2.75, 4 Re 2.75
W1 0.0000 0.0000 0.5000 [2 per cell]  8 Re 2.75, 4 Cu 2.75

Output
**DFT formation energy**: 267 meV per atom
**Theoretical density**: 17.54 g cm⁻³
**M_tot**: 0.000 μB/f.u.
**E_tot**: -10.219 eV/atom



Record 8
Below is an optimized crystal structure of AlAg5Au8, with properties calculated at the PBE-GGA level.

a b c (Å): 8.0140 8.0140 8.1964
angles (deg): 90.00 90.00 90.00
With the nearest neighbours (Å) after each atom.
Space group I-4 (No. 82)
Unique sites:
Al1 0.0000 0.0000 0.0000 [2 per cell]  8 Au 2.53-2.77
Ag1 0.0000 0.5000 0.7500 [2 per cell]  8 Au 2.77-3.06
Ag2 0.1128 0.2051 0.4188 [8 per cell]  8 Au 2.80-2.99, 2 Ag 2.97
Au1 0.0657 0.3301 0.0786 [8 per cell]  1 Al 2.77, 5 Ag 2.90-3.06, 4 Au 2.92-3.04
Au2 0.1040 0.1702 0.7608 [8 per cell]  1 Al 2.53, 4 Ag 2.77-2.82

Output
**DFT formation energy**: -10 meV per atom
**Theoretical density**: 13.51 g cm⁻³
**M_tot**: 0.000 μB/f.u.
**E_tot**: -3.169 eV/atom



Record 9
Below is an optimized crystal structure of LiTcSb2, with properties calculated at the PBE-GGA level.

a b c (Å): 3.6822 3.6822 5.6156
angles (deg): 90.00 90.00 90.00
With the nearest neighbours (Å) after each atom.
Space group P4mm (No. 99)
Unique sites:
Li1 0.0000 0.0000 0.0000 [1 per cell]  6 Sb 2.65-2.96
Tc1 0.5000 0.5000 0.7002 [1 per cell]  6 Sb 2.72-2.90
Sb1 0.0000 0.0000 0.5279 [1 per cell]  2 Li 2.65-2.96, 4 Tc 2.78
Sb2 0.5000 0.5000 0.1845 [1 per cell]  2 Tc 2.72-2.90, 4 Li 2.80

Output
**Theoretical density**: 7.60 g cm⁻³
**M_tot**: 0.578 μB/f.u.
**E above lowest polymorph**: 251 meV per atom
**Formation energy (no corrections)**: 0.079 eV per atom
**E_tot**: -5.052 eV/atom



Record 10
Below is an optimized crystal structure of Tm4Cd2H, with properties calculated at the PBE-GGA level.

a b c (Å): 4.6588 4.6588 15.5143
angles (deg): 90.00 90.00 90.00
With the nearest neighbours (Å) after each atom.
Space group I4/mmm (No. 139)
Unique sites:
Tm1 0.0000 0.0000 0.1756 [4 per cell]  1 H 2.72, 1 Cd 2.98
Tm2 0.0000 0.5000 0.0000 [4 per cell]  2 H 2.33
Cd1 0.0000 0.0000 0.3677 [4 per cell]  5 Tm 2.98-3.10
H1 0.0000 0.0000 0.0000 [2 per cell]  4 Tm 2.33

Output
**Theoretical density**: 8.89 g cm⁻³
**M_tot**: 0.004 μB/f.u.
**E_tot**: -3.454 eV/atom



Record 11
Below is an optimized crystal structure of Li4Mg3Zn4, with properties calculated at the PBE-GGA level.

a b c (Å): 4.6735 5.7008 14.7455
angles (deg): 90.00 90.00 90.00
With the nearest neighbours (Å) after each atom.
Space group Immm (No. 71)
Unique sites:
Li1 0.0000 0.2325 0.1811 [8 per cell]  4 Zn 2.55-2.69, 1 Li 2.65
Mg1 0.0000 0.0000 0.3888 [4 per cell]  4 Li 2.97, 6 Zn 3.03-3.13, 3 Mg 3.28-3.29
Mg2 0.0000 0.5000 0.5000 [2 per cell]  6 Zn 2.66-2.81
Zn1 0.0000 0.2747 0.0000 [4 per cell]  1 Zn 2.57, 2 Li 2.68, 2 Mg 2.81
Zn2 0.0000 0.5000 0.3194 [4 per cell]  6 Li 2.55-2.69, 1 Mg 2.66

Output
**DFT formation energy**: -42 meV per atom
**Theoretical density**: 3.06 g cm⁻³
**M_tot**: 0.000 μB/f.u.
**E above lowest polymorph**: 95 meV per atom
**E_tot**: -1.636 eV/atom



Record 12
Below is an optimized crystal structure of Ce10Sn3Bi3, with properties calculated at the PBE-GGA level.

a b c (Å): 9.4572 9.4572 6.4180
angles (deg): 90.00 90.00 120.00
With the nearest neighbours (Å) after each atom.
Space group P-62m (No. 189)
Unique sites:
Ce1 0.0000 0.2538 0.0000 [3 per cell]  3 Bi 3.22-3.40, 2 Sn 3.43
Ce2 0.0000 0.7473 0.5000 [3 per cell]  3 Sn 3.19-3.44, 2 Bi 3.45
Ce3 0.3333 0.6667 0.2634 [4 per cell]  2 Ce 3.04-3.38, 3 Sn 3.31, 3 Bi 3.38
Sn1 0.0000 0.3834 0.5000 [3 per cell]  9 Ce 3.19-3.44
Bi1 0.0000 0.6132 0.0000 [3 per cell]  9 Ce 3.22-3.45

Output
**DFT formation energy**: -539 meV per atom
**Theoretical density**: 7.96 g cm⁻³
**M_tot**: 11.980 μB/f.u.
**E_tot**: -5.726 eV/atom